# 1
Pr2NdCo2B2P3: optimized geometry, PBE.

```
10
Lattice="1.756 -2.833 10.965 -3.597 -4.412 9.947 1.830 1.060 -11.264" Properties=species:S:1:pos:R:3 pbc="T T T"
B -0.399 -1.570 4.532
B -1.443 -5.675 16.380
Co 1.332 -2.698 5.079
Co -1.344 -3.487 4.570
Nd 0.000 0.000 0.000
P -0.236 -0.929 2.682
P -0.921 -3.623 10.456
P -1.606 -6.316 18.230
Pr -0.663 -2.608 7.526
Pr -1.179 -4.638 13.386
```

Values from the calculation:
energy: -6.61 eV per atom
crystal system: tetragonal

# 2
PrNd2Co2B2P3: optimized geometry, PBE.

```
10
Lattice="-2.002 2.002 11.104 2.002 -2.002 11.104 2.002 2.002 -11.104" Properties=species:S:1:pos:R:3 pbc="T T T"
B 0.000 0.000 4.817
B 0.000 0.000 17.391
Co 0.000 2.002 5.552
Co 2.002 0.000 5.552
Nd 0.000 0.000 7.995
Nd 0.000 0.000 14.213
P 0.000 0.000 2.857
P 0.000 0.000 11.104
P 0.000 0.000 19.351
Pr 0.000 0.000 0.000
```

Values from the calculation:
energy: -6.61 eV per atom
crystal system: tetragonal

# 3
Co2NiB: optimized geometry, PBE.

```
4
Lattice="0.269 -3.022 2.261 -1.983 -0.137 3.219 -2.918 -2.386 0.324" Properties=species:S:1:pos:R:3 pbc="T T T"
B 0.000 0.000 0.000
Co -2.316 -2.772 2.902
Co -3.474 -4.158 4.353
Ni -1.158 -1.386 1.451
```

Values from the calculation:
energy: -6.39 eV per atom
crystal system: cubic

# 4
CoNiB4: optimized geometry, PBE.

```
6
Lattice="-1.496 2.601 2.909 1.496 -2.601 2.909 1.496 2.601 -2.909" Properties=species:S:1:pos:R:3 pbc="T T T"
B 0.000 1.737 1.464
B 1.496 -0.864 1.445
B 0.000 3.465 1.464
B 1.496 0.864 1.445
Co 0.000 0.000 0.000
Ni 0.000 0.000 2.909
```

Values from the calculation:
ΔE to the lowest computed polymorph: 0 meV per atom
crystal system: orthorhombic